VASP calculation (PBE) on an optimized crystal structure of Ca3Sc.

Lattice parameters (Å, degrees): 12.550 3.766 6.341 90.00 103.86 90.00
Positions (direct):
Ca 0.000 0.000 0.000
Ca 0.239 0.000 0.737
Ca 0.261 0.500 0.263
Ca 0.500 0.500 0.000
Ca 0.739 0.500 0.737
Ca 0.761 0.000 0.263
Sc 0.000 0.500 0.500
Sc 0.500 0.000 0.500

Calculated values
Volume: 36.4 Å³ per atom
Energy relative to the lowest polymorph listed for this composition: 3.2 kJ per mole of atoms
DFT formation energy: 178 meV per atom
Crystal system: monoclinic
DFT total energy: -23.3 eV per cell